VASP calculation (PBE) on Co3Ni4Pd after structural relaxation.

```
8
Lattice="4.042 -1.777 0.000 4.042 1.777 0.000 -3.140 0.000 6.427" Properties=species:S:1:pos:R:3 pbc="T T T"
Co 0.000 0.000 0.000
Co 1.632 0.000 4.898
Co 3.312 0.000 1.529
Ni 0.838 0.000 2.338
Ni -0.724 0.000 5.677
Ni 5.668 0.000 0.750
Ni 4.105 0.000 4.090
Pd -1.570 0.000 3.214
```

* spin magnetization: 8.2 Bohr magnetons per cell
* energy: -49.4 eV for the cell shown
* DFT formation energy: 0.196 eV per formula unit
* SG: C2/m (12)